Here is an optimized crystal structure of TbYNi2B2C2 from the Open Quantum Materials Database. Energies are from PBE-GGA.

## Properties
total DFT energy (no corrections): -7.268 eV per atom
crystal system: tetragonal

Unit cell a=3.5991 b=3.5991 c=7.5528 alpha=90.00 beta=90.00 gamma=90.00
Last column: nearest neighbours and their distance in Å.
Space group P4mm (No. 99)
One atom of each set of equivalent atoms:
Tb 0.0000 0.0000 0.0000 x1  5 C 2.45-2.55
Y 0.5000 0.5000 0.3329 x1  5 C 2.44-2.55
Ni 0.0000 0.5000 0.6667 x2  4 B 2.11
B 0.0000 0.0000 0.5217 x1  1 C 1.49
B 0.5000 0.5000 0.8121 x1  1 C 1.49
C 0.0000 0.0000 0.3238 x1  1 B 1.49
C 0.5000 0.5000 0.0099 x1  1 B 1.49